Record 1
A geometry-optimized CdRh2Se structure. Source: Alexandria, functional PBE.

```
CdRh2Se
1.0
5.8552 0.0000 0.0000
0.0000 8.8119 0.0000
-1.3493 0.0000 2.6195
Cd Rh Se
2 4 2
direct
0.0000 0.0000 0.0000
0.5000 0.5000 0.0000
0.2500 0.2500 0.5000
0.2500 0.7500 0.5000
0.7500 0.2500 0.5000
0.7500 0.7500 0.5000
0.0000 0.5000 0.0000
0.5000 0.0000 0.0000
```

crystal system = monoclinic
formation energy from raw total energies = 210 meV per atom
D(E_F) = 0.93 states/eV per atom

---

Record 2
A geometry-optimized CdRhSe2 structure. Source: Alexandria, functional PBE.

```
CdRhSe2
1.0
3.7775 0.0000 0.0000
-1.8888 3.2714 0.0000
0.0000 0.0000 23.6360
Cd Rh Se
3 3 6
direct
0.0000 0.0000 0.0000
0.3333 0.6667 0.6667
0.6667 0.3333 0.3333
0.0000 0.0000 0.5000
0.3333 0.6667 0.1667
0.6667 0.3333 0.8333
0.0000 0.0000 0.1140
0.0000 0.0000 0.8860
0.3333 0.6667 0.5526
0.3333 0.6667 0.7807
0.6667 0.3333 0.2193
0.6667 0.3333 0.4474
```

crystal system = trigonal
formation energy from raw total energies = -279 meV per atom
D(E_F) = 0.68 states/eV per atom

---

Record 3
A geometry-optimized CdRhSe2 structure. Source: Alexandria, functional PBE.

```
CdRhSe2
1.0
6.7160 0.0000 0.0000
0.0000 6.7160 0.0000
0.0000 0.0000 6.7160
Cd Rh Se
4 4 8
direct
0.0000 0.0000 0.0000
0.0000 0.5000 0.5000
0.5000 0.0000 0.5000
0.5000 0.5000 0.0000
0.2500 0.2500 0.2500
0.2500 0.7500 0.7500
0.7500 0.2500 0.7500
0.7500 0.7500 0.2500
0.0000 0.0000 0.5000
0.0000 0.5000 0.0000
0.2500 0.2500 0.7500
0.2500 0.7500 0.2500
0.5000 0.0000 0.0000
0.5000 0.5000 0.5000
0.7500 0.2500 0.2500
0.7500 0.7500 0.7500
```

crystal system = cubic
formation energy from raw total energies = 366 meV per atom
D(E_F) = 0.76 states/eV per atom

---

Record 4
A geometry-optimized Cd2RhSe structure. Source: Alexandria, functional PBE.

```
Cd2RhSe
1.0
3.0504 0.0000 0.0000
0.0000 4.6710 0.0000
0.0000 0.0000 11.8151
Cd Rh Se
4 2 2
direct
0.0000 0.0000 0.0000
0.0000 0.5000 0.1739
0.5000 0.0000 0.6739
0.5000 0.5000 0.5000
0.0000 0.0000 0.4697
0.5000 0.5000 0.9697
0.0000 0.5000 0.8062
0.5000 0.0000 0.3062
```

crystal system = orthorhombic
formation energy from raw total energies = -211 meV per atom
D(E_F) = 0.46 states/eV per atom